# 1
3
Lattice="-0.455 -1.718 -4.140 3.048 -2.921 -1.574 -1.100 -4.337 -0.531" Properties=species:S:1:pos:R:3 comment="ScReTe GGA-PBE relaxed" raw_formation_energy_ev_per_atom=0.14 vol_a3_per_atom=21.56 sg=F-43m energy_ry_per_atom=-0.5267 pbc="T T T"
Te 0.746 -4.488 -3.122
Sc 0.000 0.000 0.000
Re 1.119 -6.732 -4.684


# 2
4
Lattice="-4.449 -1.351 -2.240 -0.183 -4.976 -1.357 1.236 2.511 4.336" Properties=species:S:1:pos:R:3 comment="ScRe2Te GGA-PBE relaxed" raw_formation_energy_ev_per_atom=0.37 vol_a3_per_atom=17.32 sg=I-4m2 energy_ry_per_atom=-0.6046 pbc="T T T"
Te -2.764 -1.001 0.149
Re 0.000 0.000 0.000
Re -0.631 -2.814 0.590
Sc -2.316 -3.163 -1.798


# 3
4
Lattice="-3.086 5.252 -1.494 -3.881 3.034 -3.882 -4.212 -0.129 1.523" Properties=species:S:1:pos:R:3 comment="Sc2ReTe GGA-PBE relaxed" raw_formation_energy_ev_per_atom=-0.24 vol_a3_per_atom=21.09 sg=Imm2 energy_ry_per_atom=-0.5369 pbc="T T T"
Sc -6.848 7.922 -5.078
Sc -8.364 6.055 -2.838
Re -2.792 2.028 -0.954
Te -5.732 4.515 -2.284


# 4
6
Lattice="3.267 -5.139 -1.067 4.058 -2.013 4.207 -1.183 -5.140 3.225" Properties=species:S:1:pos:R:3 comment="ScReTe4 GGA-PBE relaxed" raw_formation_energy_ev_per_atom=1.12 vol_a3_per_atom=27.85 sg=F-43m energy_ry_per_atom=-0.3016 pbc="T T T"
Te 4.330 -5.617 4.488
Te 2.305 -4.613 2.388
Te 3.935 -7.177 1.856
Te 1.714 -7.178 3.998
Sc 0.000 0.000 0.000
Re 4.606 -9.219 4.774


# 5
3
Lattice="-5.660 2.286 -1.416 -5.421 -0.497 -3.103 -2.047 -1.443 2.092" Properties=species:S:1:pos:R:3 comment="ScReTe GGA-PBE relaxed" raw_formation_energy_ev_per_atom=0.02 vol_a3_per_atom=20.68 sg=I4mm energy_ry_per_atom=-0.5360 pbc="T T T"
Sc -5.277 -0.287 -0.272
Re -2.107 -1.421 2.048
Te -7.790 0.612 -2.111


# 6
4
Lattice="3.352 0.000 0.000 0.000 4.349 0.000 0.000 0.000 4.890" Properties=species:S:1:pos:R:3 comment="ScRe2Te GGA-PBE relaxed" raw_formation_energy_ev_per_atom=0.30 vol_a3_per_atom=17.82 sg=Pmmm energy_ry_per_atom=-0.6091 pbc="T T T"
Sc 1.676 0.000 2.445
Re 1.676 2.174 0.000
Re 0.000 0.000 0.000
Te 0.000 2.174 2.445


# 7
4
Lattice="-1.044 2.524 1.411 -3.944 -1.166 -0.831 -0.194 -2.751 4.779" Properties=species:S:1:pos:R:3 comment="ScRe2Te GGA-PBE relaxed" raw_formation_energy_ev_per_atom=0.23 vol_a3_per_atom=17.79 sg=Pmm2 energy_ry_per_atom=-0.6143 pbc="T T T"
Sc -0.097 -1.376 2.390
Te -2.638 -1.376 3.859
Re -2.537 0.068 1.351
Re -0.006 -0.085 0.148


# 8
8
Lattice="-2.222 4.905 0.868 -4.050 -2.332 2.813 0.915 1.987 8.254" Properties=species:S:1:pos:R:3 comment="ScReTe2 GGA-PBE relaxed" raw_formation_energy_ev_per_atom=0.25 vol_a3_per_atom=28.33 sg=I-42d energy_ry_per_atom=-0.4419 pbc="T T T"
Sc -3.136 0.471 6.453
Sc -3.136 1.287 1.840
Te -1.753 3.462 2.991
Te -1.508 2.546 7.461
Te -2.494 -0.539 3.896
Te -4.959 3.651 9.520
Re -2.221 4.090 5.481
Re 0.000 0.000 0.000


# 9
4
Lattice="4.184 0.000 0.000 0.000 3.111 0.002 0.000 1.043 5.708" Properties=species:S:1:pos:R:3 comment="ScRe2Te GGA-PBE relaxed" raw_formation_energy_ev_per_atom=0.18 vol_a3_per_atom=18.57 sg=Pm energy_ry_per_atom=-0.6185 pbc="T T T"
Re 2.092 0.731 1.281
Re 0.000 2.840 0.295
Te 2.092 3.680 4.114
Sc 0.000 2.091 2.878


# 10
4
Lattice="-2.897 0.457 3.178 2.717 -0.484 2.547 1.489 5.325 0.591" Properties=species:S:1:pos:R:3 comment="ScReTe2 GGA-PBE relaxed" raw_formation_energy_ev_per_atom=0.20 vol_a3_per_atom=22.34 sg=P2/m energy_ry_per_atom=-0.4462 pbc="T T T"
Te 1.928 2.374 1.417
Te 0.174 0.047 0.152
Sc 1.706 3.859 3.942
Re -0.397 1.439 2.373


# 11
4
Lattice="5.103 0.000 0.000 1.403 4.906 0.000 -3.253 -2.453 3.072" Properties=species:S:1:pos:R:3 comment="Sc2ReTe GGA-PBE relaxed" raw_formation_energy_ev_per_atom=-0.16 vol_a3_per_atom=19.23 sg=I4/mmm energy_ry_per_atom=-0.5312 pbc="T T T"
Te 0.701 2.453 1.536
Sc 0.000 0.000 0.000
Sc 3.253 2.453 0.000
Re 2.551 0.000 1.536


# 12
8
Lattice="7.806 0.000 0.000 0.000 7.806 0.000 3.903 3.903 2.641" Properties=species:S:1:pos:R:3 comment="ScRe2Te GGA-PBE relaxed" raw_formation_energy_ev_per_atom=0.93 vol_a3_per_atom=20.11 sg=I-42d energy_ry_per_atom=-0.5630 pbc="T T T"
Re 6.062 1.951 0.660
Re 9.757 9.965 1.981
Re 5.854 5.646 1.981
Re 1.743 5.854 0.660
Te 7.806 3.903 1.320
Te 0.000 0.000 0.000
Sc 3.903 3.903 0.000
Sc 3.903 7.806 1.320